ZrHgMo3 | the Alexandria database | PBE-GGA | relaxed; final energy = -6.007 eV/atom; total magnetization = 0.00 μB/cell; energy of formation = 2.2617 eV/atom
1.0
4.913 0.000 0.000
0.000 4.913 0.000
0.000 0.000 4.913
Zr Mo Hg
1 3 1
direct
0.500 0.500 0.500
0.000 0.500 0.000
0.000 0.000 0.500
0.500 0.000 0.000
0.000 0.000 0.000